Computed, not measured: GdDyNiIr after structural relaxation at the GGA-PBE level of DFT.

Results
The calculation puts the formation energy from the elements at -0.611 eV per atom.

Structure (extended XYZ):
```
4
Lattice="0.000 3.425 3.425 3.425 0.000 3.425 3.425 3.425 0.000" Properties=species:S:1:pos:R:3 pbc="T T T"
Gd 0.000 0.000 0.000
Dy 3.425 3.425 3.425
Ni 1.712 1.712 1.712
Ir 5.137 5.137 5.137
```